Entry 1:
The following is a DFT calculation (PBE) of a relaxed structure of EuSnSbPb.

Unit cell a=5.562 b=5.562 c=5.562 alpha=60.00 beta=60.00 gamma=60.00
Fractional positions:
Eu 0.500 0.500 0.500
Sn 0.250 0.250 0.250
Pb 0.000 0.000 0.000
Sb 0.750 0.750 0.750

Calculated values
For the formation energy without anion corrections, the calculation gives -0.315 eV/atom.

Entry 2:
The following is a DFT calculation (PBE) of a relaxed structure of SbIrRu.

Unit cell a=4.321 b=4.321 c=4.321 alpha=60.00 beta=60.00 gamma=60.00
Fractional positions:
Ir 0.500 0.500 0.500
Ru 0.750 0.750 0.750
Sb 0.000 0.000 0.000

Calculated values
As for the energy relative to the lowest polymorph listed for this composition: 0.0000 eV/atom. For the formation energy without anion corrections, the calculation gives 0.262 eV/atom.

Entry 3:
The following is a DFT calculation (PBE) of a relaxed structure of Ce2PuZn.

Unit cell a=5.151 b=5.151 c=5.151 alpha=60.00 beta=60.00 gamma=60.00
Fractional positions:
Ce 0.750 0.750 0.750
Zn 0.000 0.000 0.000
Ce 0.250 0.250 0.250
Pu 0.500 0.500 0.500

Calculated values
The formation energy comes out at -0.17 eV per formula unit. As for the energy relative to the lowest polymorph listed for this composition: 0.0254 eV/atom.

Entry 4:
The following is a DFT calculation (PBE) of a relaxed structure of MgNi2RuC.

Unit cell a=3.839 b=3.839 c=4.003 alpha=90.00 beta=90.00 gamma=90.00
Fractional positions:
C 0.000 0.000 0.000
Ni 0.000 0.500 0.000
Ni 0.500 0.000 0.000
Ru 0.000 0.000 0.500
Mg 0.500 0.500 0.500

Calculated values
The formation energy comes out at -0.61 eV per formula unit.

Entry 5:
The following is a DFT calculation (PBE) of a relaxed structure of TbYTm2Sc.

Unit cell a=6.282 b=6.276 c=8.558 alpha=111.51 beta=90.00 gamma=90.00
Fractional positions:
Tm 0.500 0.248 0.000
Tm 0.500 0.752 0.000
Tb 0.250 0.659 0.318
Tm 0.000 0.248 0.000
Sc 0.250 0.845 0.691
Y 0.250 0.251 0.501
Tm 0.000 0.752 0.000
Sc 0.750 0.155 0.309
Y 0.750 0.749 0.499
Tb 0.750 0.341 0.682

Calculated values
The formation energy comes out at 1.82 eV per formula unit.

Entry 6:
The following is a DFT calculation (PBE) of a relaxed structure of PmNd3Er2Se6.

Unit cell a=7.174 b=7.174 c=7.280 alpha=99.42 beta=99.42 gamma=120.23
Fractional positions:
Nd 0.840 0.160 0.500
Nd 0.160 0.840 0.500
Se 0.423 0.079 0.239
Se 0.265 0.265 0.767
Se 0.921 0.577 0.761
Se 0.079 0.423 0.239
Se 0.577 0.921 0.761
Er 0.334 0.666 0.000
Se 0.735 0.735 0.233
Nd 0.500 0.500 0.500
Pm 0.000 0.000 0.000
Er 0.666 0.334 0.000

Calculated values
For the formation energy without anion corrections, the calculation gives -1.796 eV/atom.

Entry 7:
The following is a DFT calculation (PBE) of a relaxed structure of InPRuO2.

Unit cell a=3.932 b=3.932 c=5.721 alpha=90.00 beta=90.00 gamma=90.00
Fractional positions:
P 0.000 0.000 0.500
In 0.000 0.000 0.000
O 0.000 0.500 0.000
Ru 0.500 0.500 0.500
O 0.500 0.000 0.000

Calculated values
As for the energy relative to the lowest polymorph listed for this composition: 0.9713 eV/atom. For the formation energy without anion corrections, the calculation gives 0.537 eV/atom.

Entry 8:
The following is a DFT calculation (PBE) of a relaxed structure of MgVSi3.

Unit cell a=4.598 b=4.598 c=4.598 alpha=90.00 beta=90.00 gamma=90.00
Fractional positions:
Si 0.500 0.000 0.000
Si 0.000 0.500 0.000
V 0.000 0.000 0.000
Mg 0.500 0.500 0.500
Si 0.000 0.000 0.500

Calculated values
As for the energy relative to the lowest polymorph listed for this composition: 0.0000 eV/atom. For the formation energy without anion corrections, the calculation gives 0.337 eV/atom.

Entry 9:
The following is a DFT calculation (PBE) of a relaxed structure of Dy6Rh3Au.

Unit cell a=4.056 b=11.468 c=11.667 alpha=108.65 beta=90.00 gamma=90.00
Fractional positions:
Rh 0.750 0.699 0.522
Au 0.250 0.926 0.306
Rh 0.250 0.527 0.172
Rh 0.750 0.473 0.828
Dy 0.750 0.756 0.782
Dy 0.250 0.544 0.408
Dy 0.250 0.615 0.971
Dy 0.250 0.878 0.551
Rh 0.250 0.844 0.943
Dy 0.750 0.385 0.029
Au 0.750 0.074 0.694
Dy 0.750 0.709 0.272
Dy 0.750 0.941 0.111
Dy 0.250 0.059 0.889
Rh 0.750 0.156 0.057
Dy 0.750 0.122 0.449
Rh 0.250 0.301 0.478
Dy 0.250 0.291 0.728
Dy 0.250 0.244 0.218
Dy 0.750 0.456 0.592

Calculated values
The formation energy comes out at -6.94 eV per formula unit. As for the energy relative to the lowest polymorph listed for this composition: 0.0000 eV/atom.

Entry 10:
The following is a DFT calculation (PBE) of a relaxed structure of Mg8ZnIn6.

Unit cell a=8.285 b=8.285 c=7.988 alpha=58.76 beta=58.76 gamma=60.00
Fractional positions:
Mg 0.669 0.669 0.992
Mg 0.108 0.475 0.646
Mg 0.229 0.892 0.354
In 0.739 0.370 0.825
Mg 0.331 0.331 0.008
In 0.630 0.934 0.175
Mg 0.771 0.108 0.646
In 0.261 0.630 0.175
Mg 0.475 0.771 0.646
Zn 0.000 0.000 0.000
In 0.370 0.066 0.825
In 0.934 0.261 0.175
Mg 0.892 0.525 0.354
In 0.066 0.739 0.825
Mg 0.525 0.229 0.354

Calculated values
The formation energy comes out at 0.65 eV per formula unit.

Entry 11:
The following is a DFT calculation (PBE) of a relaxed structure of SbHN2F.

Unit cell a=3.364 b=3.364 c=4.065 alpha=90.00 beta=90.00 gamma=90.00
Fractional positions:
F 0.000 0.000 0.500
H 0.000 0.000 0.000
N 0.500 0.000 0.000
N 0.000 0.500 0.000
Sb 0.500 0.500 0.500

Calculated values
As for the energy relative to the lowest polymorph listed for this composition: 0.0000 eV/atom.

Entry 12:
The following is a DFT calculation (PBE) of a relaxed structure of BaAsHSe2.

Unit cell a=5.355 b=5.355 c=3.833 alpha=90.00 beta=90.00 gamma=90.00
Fractional positions:
Ba 0.500 0.500 0.500
As 0.000 0.000 0.500
Se 0.000 0.500 0.000
Se 0.500 0.000 0.000
H 0.000 0.000 0.000

Calculated values
As for the energy relative to the lowest polymorph listed for this composition: 0.0000 eV/atom.

Entry 13:
The following is a DFT calculation (PBE) of a relaxed structure of LaHgP2.

Unit cell a=5.631 b=5.631 c=5.825 alpha=83.89 beta=83.89 gamma=35.79
Fractional positions:
P 0.508 0.508 0.374
La 0.250 0.250 0.250
P 0.992 0.992 0.126
Hg 0.750 0.750 0.750

Calculated values
The formation energy comes out at -1.93 eV per formula unit.

Entry 14:
The following is a DFT calculation (PBE) of a relaxed structure of DyB4Ru4.

Unit cell a=4.053 b=7.444 c=7.444 alpha=90.00 beta=90.00 gamma=90.00
Fractional positions:
B 0.888 0.668 0.207
B 0.388 0.293 0.168
B 0.612 0.832 0.293
B 0.112 0.793 0.668
Ru 0.113 0.856 0.389
Dy 0.000 0.000 0.000
Ru 0.387 0.356 0.889
Ru 0.887 0.389 0.144
B 0.888 0.332 0.793
B 0.388 0.707 0.832
Ru 0.387 0.644 0.111
Ru 0.613 0.889 0.644
Ru 0.887 0.611 0.856
Dy 0.500 0.500 0.500
Ru 0.113 0.144 0.611
Ru 0.613 0.111 0.356
B 0.612 0.168 0.707
B 0.112 0.207 0.332

Calculated values
The formation energy comes out at -4.26 eV per formula unit. As for the energy relative to the lowest polymorph listed for this composition: 0.0240 eV/atom.

Entry 15:
The following is a DFT calculation (PBE) of a relaxed structure of ZnPbS2N.

Unit cell a=5.314 b=5.314 c=4.361 alpha=90.00 beta=90.00 gamma=90.00
Fractional positions:
Zn 0.500 0.500 0.500
N 0.000 0.000 0.500
S 0.000 0.500 0.000
S 0.500 0.000 0.000
Pb 0.000 0.000 0.000

Calculated values
As for the energy relative to the lowest polymorph listed for this composition: 0.6038 eV/atom. For the formation energy without anion corrections, the calculation gives 1.154 eV/atom.

Entry 16:
The following is a DFT calculation (PBE) of a relaxed structure of Nd2SmAs.

Unit cell a=3.982 b=3.982 c=9.913 alpha=78.41 beta=78.41 gamma=60.00
Fractional positions:
Nd 0.729 0.729 0.814
Nd 0.271 0.271 0.186
Sm 0.500 0.500 0.500
As 0.000 0.000 0.000

Calculated values
The formation energy comes out at -2.32 eV per formula unit. As for the energy relative to the lowest polymorph listed for this composition: 0.0174 eV/atom.

Entry 17:
The following is a DFT calculation (PBE) of a relaxed structure of Hg3Ge5Cl12.

Unit cell a=15.009 b=15.009 c=15.009 alpha=109.47 beta=109.47 gamma=109.47
Fractional positions:
Cl 0.003 0.601 0.185
Cl 0.681 0.584 0.185
Cl 0.584 0.903 0.399
Cl 0.597 0.601 0.916
Cl 0.403 0.399 0.084
Cl 0.503 0.819 0.903
Hg 0.250 0.125 0.375
Ge 0.000 0.500 0.000
Cl 0.181 0.685 0.084
Cl 0.903 0.319 0.503
Ge 0.375 0.125 0.750
Hg 0.875 0.750 0.125
Cl 0.916 0.815 0.819
Cl 0.416 0.319 0.315
Hg 0.875 0.125 0.250
Cl 0.084 0.185 0.181
Cl 0.319 0.903 0.003
Cl 0.685 0.181 0.584
Cl 0.685 0.503 0.601
Cl 0.185 0.084 0.681
Cl 0.503 0.685 0.101
Ge 0.250 0.375 0.625
Cl 0.185 0.101 0.003
Cl 0.584 0.681 0.685
Cl 0.181 0.497 0.597
Cl 0.997 0.597 0.681
Cl 0.899 0.084 0.903
Cl 0.403 0.003 0.819
Ge 0.875 0.625 0.750
Cl 0.097 0.681 0.497
Ge 0.500 0.000 0.500
Ge 0.875 0.250 0.625
Ge 0.125 0.375 0.250
Cl 0.084 0.899 0.403
Cl 0.681 0.097 0.997
Cl 0.601 0.003 0.685
Hg 0.625 0.375 0.750
Cl 0.815 0.916 0.319
Hg 0.375 0.625 0.250
Ge 0.500 0.500 0.500
Cl 0.003 0.403 0.319
Cl 0.319 0.416 0.815
Cl 0.899 0.815 0.497
Cl 0.315 0.497 0.399
Ge 0.000 0.500 0.500
Cl 0.416 0.097 0.601
Hg 0.125 0.875 0.750
Ge 0.000 0.000 0.000
Ge 0.125 0.750 0.375
Hg 0.750 0.875 0.625
Ge 0.625 0.750 0.875
Cl 0.399 0.403 0.584
Ge 0.625 0.875 0.250
Hg 0.250 0.625 0.875
Cl 0.903 0.584 0.899
Cl 0.497 0.181 0.097
Cl 0.815 0.899 0.997
Cl 0.101 0.185 0.503
Ge 0.375 0.250 0.125
Ge 0.500 0.000 0.000
Ge 0.750 0.625 0.375
Cl 0.315 0.819 0.416
Cl 0.819 0.503 0.403
Hg 0.375 0.750 0.625
Ge 0.500 0.500 0.000
Cl 0.601 0.597 0.416
Ge 0.250 0.875 0.125
Cl 0.819 0.315 0.916
Cl 0.497 0.315 0.899
Ge 0.750 0.125 0.875
Cl 0.597 0.997 0.181
Ge 0.000 0.000 0.500
Cl 0.997 0.399 0.815
Hg 0.625 0.250 0.375
Hg 0.750 0.375 0.125
Cl 0.916 0.101 0.597
Cl 0.399 0.997 0.315
Cl 0.101 0.916 0.097
Cl 0.097 0.416 0.101
Hg 0.125 0.250 0.875

Calculated values
For the formation energy without anion corrections, the calculation gives -0.516 eV/atom.

Entry 18:
The following is a DFT calculation (PBE) of a relaxed structure of RhNCl2.

Unit cell a=6.913 b=6.913 c=6.913 alpha=29.87 beta=29.87 gamma=29.87
Fractional positions:
Rh 0.500 0.500 0.500
Cl 0.098 0.098 0.098
Cl 0.902 0.902 0.902
N 0.000 0.000 0.000

Calculated values
As for the energy relative to the lowest polymorph listed for this composition: 0.8728 eV/atom. For the formation energy without anion corrections, the calculation gives 1.196 eV/atom.

The calculation returns the following size of the total moment values, one per record and in order: 7.03 0.00 8.68 0.00 0.55 0.00 3.56 0.00 0.00 0.00 0.00 0.00 0.00 0.00 1.72 0.00 0.00 0.00 μB/cell.